{"formula": "LiFeOF2", "functional": "PBE+U", "state": "relaxed", "lattice": [[3.334, 0.000, 0.000], [-1.667, 2.887, 0.000], [0.000, 0.000, 11.937]], "species": ["Li", "Li", "Fe", "Fe", "O", "O", "F", "F", "F", "F"], "fractional_positions": [[0.000, 0.000, 0.000], [0.000, 0.000, 0.500], [0.333, 0.667, 0.250], [0.667, 0.333, 0.750], [0.000, 0.000, 0.250], [0.000, 0.000, 0.750], [0.333, 0.667, 0.084], [0.333, 0.667, 0.416], [0.667, 0.333, 0.584], [0.667, 0.333, 0.916]], "polymorph_energy_mev_per_atom": 52, "magmom_total_mub_per_atom": 0.999}

***

{"formula": "Li2Fe3O3F5", "functional": "PBE+U", "state": "relaxed", "lattice": [[5.203, -2.964, 0.000], [5.203, 2.964, 0.000], [-3.533, 0.000, 4.973]], "species": ["Li", "Li", "Fe", "Fe", "Fe", "O", "O", "O", "F", "F", "F", "F", "F"], "fractional_positions": [[0.242, 0.758, 0.000], [0.758, 0.242, 0.000], [0.373, 0.373, 0.405], [0.739, 0.739, 0.002], [0.758, 0.758, 0.502], [0.509, 0.509, 0.776], [0.516, 0.976, 0.258], [0.976, 0.516, 0.258], [0.507, 0.507, 0.269], [0.533, 0.969, 0.750], [0.967, 0.967, 0.189], [0.969, 0.533, 0.750], [0.981, 0.981, 0.761]], "magmom_total_mub_per_atom": 1.154, "total_energy_ev_per_cell": -73.01}

***

{"formula": "LiFe8O14F2", "functional": "PBE+U", "state": "relaxed", "lattice": [[4.635, 0.000, 0.000], [0.027, 4.669, 0.000], [0.036, 0.128, 11.958]], "species": ["Li", "Fe", "Fe", "Fe", "Fe", "Fe", "Fe", "Fe", "Fe", "O", "O", "O", "O", "O", "O", "O", "O", "O", "O", "O", "O", "O", "O", "F", "F"], "fractional_positions": [[0.000, 0.000, 0.000], [0.007, 0.501, 0.589], [0.012, 0.506, 0.346], [0.014, 0.497, 0.086], [0.480, 0.974, 0.214], [0.505, 0.992, 0.963], [0.509, 0.004, 0.461], [0.513, 0.993, 0.705], [0.978, 0.519, 0.833], [0.188, 0.676, 0.215], [0.195, 0.689, 0.711], [0.203, 0.690, 0.472], [0.206, 0.687, 0.955], [0.294, 0.166, 0.084], [0.299, 0.188, 0.336], [0.301, 0.210, 0.589], [0.698, 0.829, 0.839], [0.699, 0.800, 0.336], [0.707, 0.818, 0.085], [0.723, 0.798, 0.587], [0.791, 0.315, 0.957], [0.806, 0.319, 0.710], [0.819, 0.315, 0.470], [0.291, 0.187, 0.838], [0.790, 0.299, 0.212]], "polymorph_energy_mev_per_atom": 79, "magmom_total_mub_per_atom": 0.380}

***

{"formula": "Li4FeO2F2", "functional": "PBE+U", "state": "relaxed", "lattice": [[4.985, -1.829, 0.000], [4.985, 1.829, 0.000], [-3.987, 0.000, 5.209]], "species": ["Li", "Li", "Li", "Li", "Fe", "O", "O", "F", "F"], "fractional_positions": [[0.140, 0.140, 0.030], [0.335, 0.335, 0.649], [0.665, 0.665, 0.351], [0.860, 0.860, 0.970], [0.000, 0.000, 0.500], [0.088, 0.088, 0.309], [0.912, 0.912, 0.691], [0.256, 0.256, 0.852], [0.744, 0.744, 0.148]], "magmom_total_mub_per_atom": 0.444, "total_energy_ev_per_cell": -46.40}